Material: Nd3Y2Hg2
Method: DFT, PBE
State: relaxed

Lattice parameters (Å, degrees): 4.961 23.507 3.560 90.00 90.00 90.00
Element x y z (fractional)
Nd: 0.000 0.000 0.000
Nd: 0.000 0.141 0.000
Nd: 0.000 0.859 0.000
Nd: 0.500 0.359 0.000
Nd: 0.500 0.500 0.000
Nd: 0.500 0.641 0.000
Y: 0.000 0.291 0.500
Y: 0.000 0.709 0.500
Y: 0.500 0.209 0.500
Y: 0.500 0.791 0.500
Hg: 0.000 0.429 0.500
Hg: 0.000 0.571 0.500
Hg: 0.500 0.071 0.500
Hg: 0.500 0.929 0.500

Computed properties:
The distance to the lowest polymorph of the same formula is 0.1341 eV per atom. As for the formation energy: -0.789 eV per formula unit.



Material: Ba8Na3Pt
Method: DFT, PBE
State: relaxed

Lattice parameters (Å, degrees): 12.209 12.209 10.361 90.00 90.00 120.00
Element x y z (fractional)
Ba: 0.000 0.000 0.311
Ba: 0.000 0.000 0.811
Ba: 0.087 0.544 0.316
Ba: 0.205 0.409 0.000
Ba: 0.205 0.795 0.000
Ba: 0.333 0.667 0.666
Ba: 0.409 0.205 0.500
Ba: 0.456 0.544 0.316
Ba: 0.456 0.913 0.316
Ba: 0.544 0.087 0.816
Ba: 0.544 0.456 0.816
Ba: 0.591 0.795 0.000
Ba: 0.667 0.333 0.166
Ba: 0.795 0.205 0.500
Ba: 0.795 0.591 0.500
Ba: 0.913 0.456 0.816
Na: 0.157 0.313 0.588
Na: 0.157 0.843 0.588
Na: 0.313 0.157 0.088
Na: 0.687 0.843 0.588
Na: 0.843 0.157 0.088
Na: 0.843 0.687 0.088
Pt: 0.333 0.667 0.151
Pt: 0.667 0.333 0.651

Computed properties:
As for the formation energy: -1.344 eV per formula unit.